InTcSb | meta-GGA SCAN | PBEsol geometry

It has space group F-43m (No. 216), with a = 6.416 Å, b = 6.416 Å, c = 6.416 Å, α = 90.00°, β = 90.00° and γ = 90.00°. The distinct sites, in fractional coordinates, are In at (0.000, 0.000, 0.000), Tc at (0.000, 0.000, 0.500) and Sb at (0.250, 0.250, 0.750).

The calculation puts the magnetic moment at 0.00 μB/f.u. The calculation puts the electronic total energy at -34.436 eV per atom. The calculation puts the formation energy (no corrections) at 0.800 eV per atom. The density of states at the Fermi level comes out at 8.180 states/eV per cell.